VASP calculation (PBE+U) on a relaxed structure of SrMnI2O.

Structure (POSCAR):
```
SrMnI2O
1.0
5.952 0.000 0.000
0.000 5.952 0.000
0.000 0.000 3.928
Sr Mn I O
1 1 2 1
Direct
0.000 0.000 0.000
0.500 0.500 0.500
0.000 0.500 0.500
0.500 0.000 0.500
0.500 0.500 0.000
```

Calculated values
VASP energy: -0.168 Ha/atom
DOS at the Fermi energy: 1.108 states/eV/cell
Space group: P4/mmm (123)